No. 1
DFT (PBE-GGA) results for crystalline Na5Ho3F12 at its relaxed geometry.

- DOS at the Fermi energy: 39.43 states/eV/cell
- Magnetization: 0.0 Bohr magnetons per cell
- Volume: 14.8 Å³ per atom
- Final energy: -5.24 eV per atom

```
data_Na5Ho3F12
_symmetry_space_group_name_H-M 'I a -3 d'
_symmetry_Int_Tables_number 230
_symmetry_space_group_name_Hall '-I 4bd 2c 3'
_cell_length_a 13.3192
_cell_length_b 13.3192
_cell_length_c 13.3192
_cell_angle_alpha 90.00
_cell_angle_beta 90.00
_cell_angle_gamma 90.00
loop_
_atom_site_label
_atom_site_fract_x
_atom_site_fract_y
_atom_site_fract_z
_atom_site_occupancy
Na1 0.0000 0.0000 0.0000 1
Na2 0.0000 0.2500 0.3750 1
Ho1 0.0000 0.2500 0.1250 1
F1 0.0165 0.0791 0.6524 1
```

***

No. 2
DFT (PBE-GGA) results for crystalline Na2HoF4 at its relaxed geometry.

- DOS at the Fermi energy: 2.83 states/eV/cell
- Magnetization: 0.0 Bohr magnetons per cell
- Volume: 16.3 Å³ per atom
- Final energy: -5.14 eV per atom

```
data_Na2HoF4
_symmetry_space_group_name_H-M 'P b a m'
_symmetry_Int_Tables_number 55
_cell_length_a 5.9448
_cell_length_b 10.5378
_cell_length_c 3.6403
_cell_angle_alpha 90.00
_cell_angle_beta 90.00
_cell_angle_gamma 90.00
loop_
_symmetry_equiv_pos_as_xyz
'x,y,z'
'-x,-y,-z'
'-x,-y,z'
'x,y,-z'
'x+1/2,-y+1/2,-z'
'-x+1/2,y+1/2,z'
'-x+1/2,y+1/2,-z'
'x+1/2,-y+1/2,z'
loop_
_atom_site_label
_atom_site_fract_x
_atom_site_fract_y
_atom_site_fract_z
_atom_site_occupancy
Na1 0.0143 0.1854 0.0000 1
Ho1 0.0000 0.5000 0.5000 1
F1 0.1427 0.4032 0.0000 1
F2 0.1808 0.6826 0.5000 1
```

***

No. 3
DFT (PBE-GGA) results for crystalline NaHoF4 at its relaxed geometry.

- DOS at the Fermi energy: 0.00 states/eV/cell
- Magnetization: 0.0 Bohr magnetons per cell
- Volume: 13.4 Å³ per atom
- Final energy: -5.94 eV per atom

```
data_NaHoF4
_symmetry_space_group_name_H-M 'P 4/m m m'
_symmetry_Int_Tables_number 123
_symmetry_space_group_name_Hall '-P 4 2'
_cell_length_a 3.8090
_cell_length_b 3.8090
_cell_length_c 5.5547
_cell_angle_alpha 90.00
_cell_angle_beta 90.00
_cell_angle_gamma 90.00
loop_
_atom_site_label
_atom_site_fract_x
_atom_site_fract_y
_atom_site_fract_z
_atom_site_occupancy
Na1 0.0000 0.0000 0.0000 1
Ho1 0.5000 0.5000 0.5000 1
F1 0.0000 0.5000 0.2714 1
```